(1)
Computed, not measured: an optimized crystal structure of Y4Ga2Sb at the PBE level of DFT.

Cell and atoms, written as CIF:
```
data_Y4Ga2Sb
_chemical_formula_sum 'Y32 Ga16 Sb8'
_space_group_name_H-M_alt 'F d d d'
_space_group_IT_number 70
_cell_length_a 9.258
_cell_length_b 13.248
_cell_length_c 13.274
_cell_angle_alpha 90.00
_cell_angle_beta 90.00
_cell_angle_gamma 90.00
loop_
_space_group_symop_operation_xyz
'x,y,z'
'-x,-y,-z'
'-x+1/4,-y+1/4,z'
'x+1/4,y+1/4,-z'
'x,-y+1/4,-z+1/4'
'-x,y+1/4,z+1/4'
'-x+1/4,y,-z+1/4'
'x+1/4,-y,z+1/4'
'x,y+1/2,z+1/2'
'-x,-y+1/2,-z+1/2'
'-x+1/4,-y+3/4,z+1/2'
'x+1/4,y+3/4,-z+1/2'
'x,-y+3/4,-z+3/4'
'-x,y+3/4,z+3/4'
'-x+1/4,y+1/2,-z+3/4'
'x+1/4,-y+1/2,z+3/4'
'x+1/2,y,z+1/2'
'-x+1/2,-y,-z+1/2'
'-x+3/4,-y+1/4,z+1/2'
'x+3/4,y+1/4,-z+1/2'
'x+1/2,-y+1/4,-z+3/4'
'-x+1/2,y+1/4,z+3/4'
'-x+3/4,y,-z+3/4'
'x+3/4,-y,z+3/4'
'x+1/2,y+1/2,z'
'-x+1/2,-y+1/2,-z'
'-x+3/4,-y+3/4,z'
'x+3/4,y+3/4,-z'
'x+1/2,-y+3/4,-z+1/4'
'-x+1/2,y+3/4,z+1/4'
'-x+3/4,y+1/2,-z+1/4'
'x+3/4,-y+1/2,z+1/4'
loop_
_atom_site_label
_atom_site_fract_x
_atom_site_fract_y
_atom_site_fract_z
Y1 0.057 0.284 0.466
Ga1 0.000 0.000 0.000
Sb1 0.125 0.125 0.625
```

**Raw formation energy**: -0.515 eV per atom
**M_tot**: 0.00 μB per formula unit
**Energy**: -317.1 eV per cell

***

(2)
Computed, not measured: an optimized crystal structure of BaTc2Pt at the PBE level of DFT.

Cell and atoms, written as CIF:
```
data_BaTc2Pt
_chemical_formula_sum 'Ba2 Tc4 Pt2'
_space_group_name_H-M_alt 'C m m m'
_space_group_IT_number 65
_space_group_name_Hall '-C 2 2'
_cell_length_a 5.951
_cell_length_b 9.259
_cell_length_c 2.799
_cell_angle_alpha 90.00
_cell_angle_beta 90.00
_cell_angle_gamma 90.00
loop_
_atom_site_label
_atom_site_fract_x
_atom_site_fract_y
_atom_site_fract_z
Ba1 0.000 0.000 0.000
Tc1 0.250 0.250 0.500
Pt1 0.000 0.500 0.000
```

**Calculated formation energy**: 24.54 kcal/mol of atoms
**M_tot**: 0.00 μB per formula unit
**Energy**: -48.9 eV per cell
**Excess energy over the best structure of this formula in the dataset**: 870 meV per atom